(w)
Cu6Si | PBE | relaxed

Calculated values
density	8.06	g/cm³
density of states at the Fermi level	0.477	states/eV/atom

Geometry as CIF:
```
data_Cu6Si
_chemical_formula_sum 'Cu18 Si3'
_cell_length_a 4.0856
_cell_length_b 4.0856
_cell_length_c 17.5096
_cell_angle_alpha 90.00
_cell_angle_beta 90.00
_cell_angle_gamma 120.00
_symmetry_space_group_name_H-M 'R -3 m'
_symmetry_Int_Tables_number 166
_symmetry_space_group_name_Hall '-R 3 2"'
loop_
_atom_site_label
_atom_site_type_symbol
_atom_site_fract_x
_atom_site_fract_y
_atom_site_fract_z
_atom_site_occupancy
Cu1 Cu 0.0000 0.0000 0.0700 1
Cu2 Cu 0.0000 0.0000 0.2128 1
Cu3 Cu 0.0000 0.0000 0.3592 1
Si1 Si 0.0000 0.0000 0.5000 1
```


(x)
Cu6Si | PBE | relaxed

Calculated values
density	5.16	g/cm³
density of states at the Fermi level	0.900	states/eV/atom

Geometry as CIF:
```
data_Cu6Si
_chemical_formula_sum 'Cu12 Si2'
_cell_length_a 6.413
_cell_length_b 6.413
_cell_length_c 6.413
_cell_angle_alpha 90.00
_cell_angle_beta 90.00
_cell_angle_gamma 90.00
_symmetry_space_group_name_H-M 'I m -3 m'
_symmetry_Int_Tables_number 229
_symmetry_space_group_name_Hall '-I 4 2 3'
loop_
_atom_site_label
_atom_site_type_symbol
_atom_site_fract_x
_atom_site_fract_y
_atom_site_fract_z
_atom_site_occupancy
Cu1 Cu 0.000 0.250 0.500 1
Si1 Si 0.000 0.000 0.000 1
```


Tell me which of them is the least stable. Sure, it is (x).


(w)
Cu5Si | PBE | relaxed

Calculated values
density	7.95	g/cm³
density of states at the Fermi level	0.341	states/eV/atom

Geometry as CIF:
```
data_Cu5Si
_chemical_formula_sum 'Cu10 Si2'
_cell_length_a 9.535
_cell_length_b 2.591
_cell_length_c 6.080
_cell_angle_alpha 90.00
_cell_angle_beta 105.93
_cell_angle_gamma 90.00
_symmetry_space_group_name_H-M 'C 1 m 1'
_symmetry_Int_Tables_number 8
_symmetry_space_group_name_Hall 'C -2y'
loop_
_atom_site_label
_atom_site_type_symbol
_atom_site_fract_x
_atom_site_fract_y
_atom_site_fract_z
_atom_site_occupancy
Cu1 Cu 0.000 0.000 0.000 1
Cu2 Cu 0.048 0.000 0.608 1
Cu3 Cu 0.164 0.500 0.333 1
Cu4 Cu 0.325 0.000 0.674 1
Cu5 Cu 0.382 0.000 0.270 1
Si1 Si 0.216 0.500 0.943 1
```


(x)
Cu5Si | PBE | relaxed

Calculated values
density	7.99	g/cm³
density of states at the Fermi level	0.290	states/eV/atom

Geometry as CIF:
```
data_Cu5Si
_chemical_formula_sum 'Cu5 Si1'
_cell_length_a 4.4887
_cell_length_b 4.4887
_cell_length_c 4.1187
_cell_angle_alpha 90.00
_cell_angle_beta 90.00
_cell_angle_gamma 120.00
_symmetry_space_group_name_H-M 'P -6 2 m'
_symmetry_Int_Tables_number 189
_symmetry_space_group_name_Hall 'P -6 -2'
loop_
_atom_site_label
_atom_site_type_symbol
_atom_site_fract_x
_atom_site_fract_y
_atom_site_fract_z
_atom_site_occupancy
Cu1 Cu 0.0000 0.6747 0.0000 1
Cu2 Cu 0.3333 0.6667 0.5000 1
Si1 Si 0.0000 0.0000 0.5000 1
```


Tell me which of them is the least stable. Sure, it is (w).


(w)
Cu5Si | PBE | relaxed

Calculated values
density	7.98	g/cm³
density of states at the Fermi level	0.255	states/eV/atom

Geometry as CIF:
```
data_Cu5Si
_chemical_formula_sum 'Cu10 Si2'
_cell_length_a 3.611
_cell_length_b 10.948
_cell_length_c 3.640
_cell_angle_alpha 90.00
_cell_angle_beta 90.00
_cell_angle_gamma 90.00
_symmetry_space_group_name_H-M 'C m m m'
_symmetry_Int_Tables_number 65
_symmetry_space_group_name_Hall '-C 2 2'
loop_
_atom_site_label
_atom_site_type_symbol
_atom_site_fract_x
_atom_site_fract_y
_atom_site_fract_z
_atom_site_occupancy
Cu1 Cu 0.000 0.000 0.000 1
Cu2 Cu 0.000 0.163 0.500 1
Cu3 Cu 0.000 0.334 0.000 1
Si1 Si 0.000 0.500 0.500 1
```


(x)
Cu5Si | PBE | relaxed

Calculated values
density	7.04	g/cm³
density of states at the Fermi level	0.369	states/eV/atom

Geometry as CIF:
```
data_Cu5Si
_chemical_formula_sum 'Cu5 Si1'
_cell_length_a 4.7441
_cell_length_b 4.7441
_cell_length_c 4.1820
_cell_angle_alpha 90.00
_cell_angle_beta 90.00
_cell_angle_gamma 120.00
_symmetry_space_group_name_H-M 'P 6/m m m'
_symmetry_Int_Tables_number 191
_symmetry_space_group_name_Hall '-P 6 2'
loop_
_atom_site_label
_atom_site_type_symbol
_atom_site_fract_x
_atom_site_fract_y
_atom_site_fract_z
_atom_site_occupancy
Cu1 Cu 0.0000 0.5000 0.0000 1
Cu2 Cu 0.3333 0.6667 0.5000 1
Si1 Si 0.0000 0.0000 0.5000 1
```


(y)
Cu5Si | PBE | relaxed

Calculated values
density	7.91	g/cm³
density of states at the Fermi level	0.206	states/eV/atom

Geometry as CIF:
```
data_Cu5Si
_chemical_formula_sum 'Cu10 Si2'
_cell_length_a 4.077
_cell_length_b 2.826
_cell_length_c 12.596
_cell_angle_alpha 90.00
_cell_angle_beta 90.00
_cell_angle_gamma 90.00
_symmetry_space_group_name_H-M 'A m m 2'
_symmetry_Int_Tables_number 38
_symmetry_space_group_name_Hall 'A 2 -2'
loop_
_atom_site_label
_atom_site_type_symbol
_atom_site_fract_x
_atom_site_fract_y
_atom_site_fract_z
_atom_site_occupancy
Cu1 Cu 0.000 0.000 0.000 1
Cu2 Cu 0.000 0.000 0.329 1
Cu3 Cu 0.500 0.000 0.129 1
Cu4 Cu 0.500 0.000 0.459 1
Cu5 Cu 0.500 0.000 0.795 1
Si1 Si 0.000 0.000 0.663 1
```


Tell me which of them is the least stable. Sure, it is (x).


(w)
Cu3Si5 | PBE | relaxed

Calculated values
density	4.60	g/cm³
density of states at the Fermi level	0.258	states/eV/atom

Geometry as CIF:
```
data_Cu3Si5
_chemical_formula_sum 'Cu6 Si10'
_cell_length_a 5.763
_cell_length_b 5.800
_cell_length_c 7.823
_cell_angle_alpha 96.43
_cell_angle_beta 97.89
_cell_angle_gamma 110.43
_symmetry_space_group_name_H-M 'P -1'
_symmetry_Int_Tables_number 2
_symmetry_space_group_name_Hall '-P 1'
loop_
_atom_site_label
_atom_site_type_symbol
_atom_site_fract_x
_atom_site_fract_y
_atom_site_fract_z
_atom_site_occupancy
Cu1 Cu 0.017 0.223 0.036 1
Cu2 Cu 0.325 0.270 0.496 1
Cu3 Cu 0.340 0.623 0.990 1
Si1 Si 0.108 0.782 0.433 1
Si2 Si 0.265 0.832 0.748 1
Si3 Si 0.267 0.245 0.790 1
Si4 Si 0.284 0.044 0.210 1
Si5 Si 0.292 0.526 0.281 1
```


(x)
Cu3Si5 | PBE | relaxed

Calculated values
density	4.89	g/cm³
density of states at the Fermi level	0.446	states/eV/atom

Geometry as CIF:
```
data_Cu3Si5
_chemical_formula_sum 'Cu6 Si10'
_cell_length_a 7.5239
_cell_length_b 7.5239
_cell_length_c 4.5817
_cell_angle_alpha 90.00
_cell_angle_beta 90.00
_cell_angle_gamma 120.00
_symmetry_space_group_name_H-M 'P 63/m c m'
_symmetry_Int_Tables_number 193
_symmetry_space_group_name_Hall '-P 6c 2'
loop_
_atom_site_label
_atom_site_type_symbol
_atom_site_fract_x
_atom_site_fract_y
_atom_site_fract_z
_atom_site_occupancy
Cu1 Cu 0.0000 0.4207 0.2500 1
Si1 Si 0.0000 0.2083 0.7500 1
Si2 Si 0.3333 0.6667 0.0000 1
```


Tell me which of them is the least stable. Sure, it is (x).


(w)
Cu5Si4 | PBE | relaxed

Calculated values
density	5.90	g/cm³
density of states at the Fermi level	0.319	states/eV/atom

Geometry as CIF:
```
data_Cu5Si4
_chemical_formula_sum 'Cu10 Si8'
_cell_length_a 7.0573
_cell_length_b 7.0573
_cell_length_c 5.6078
_cell_angle_alpha 90.00
_cell_angle_beta 90.00
_cell_angle_gamma 120.00
_symmetry_space_group_name_H-M 'P 63/m c m'
_symmetry_Int_Tables_number 193
_symmetry_space_group_name_Hall '-P 6c 2'
loop_
_atom_site_label
_atom_site_type_symbol
_atom_site_fract_x
_atom_site_fract_y
_atom_site_fract_z
_atom_site_occupancy
Cu1 Cu 0.0000 0.3325 0.2500 1
Cu2 Cu 0.3333 0.6667 0.0000 1
Si1 Si 0.0000 0.0000 0.0000 1
Si2 Si 0.0000 0.3380 0.7500 1
```


(x)
Cu5Si4 | PBE | relaxed

Calculated values
density	6.21	g/cm³
density of states at the Fermi level	0.403	states/eV/atom

Geometry as CIF:
```
data_Cu5Si4
_chemical_formula_sum 'Cu10 Si8'
_cell_length_a 7.790
_cell_length_b 7.790
_cell_length_c 3.792
_cell_angle_alpha 90.00
_cell_angle_beta 90.00
_cell_angle_gamma 90.00
_symmetry_space_group_name_H-M 'I 4/m m m'
_symmetry_Int_Tables_number 139
_symmetry_space_group_name_Hall '-I 4 2'
loop_
_atom_site_label
_atom_site_type_symbol
_atom_site_fract_x
_atom_site_fract_y
_atom_site_fract_z
_atom_site_occupancy
Cu1 Cu 0.000 0.000 0.000 1
Cu2 Cu 0.168 0.168 0.500 1
Si1 Si 0.000 0.324 0.000 1
```


Tell me which of them is the least stable. Sure, it is (w).